A relaxed Ce2PrSnN crystal. Source: the Alexandria database, functional PBE.

Cell lengths 4.8763, 4.8763, 5.1326 Å; angles 90.00, 90.00, 90.00 degrees
Space group P4/mmm (No. 123)
Asymmetric unit:
Ce (0.0000, 0.5000, 0.0000)
Pr (0.0000, 0.0000, 0.5000)
Sn (0.5000, 0.5000, 0.5000)
N (0.0000, 0.0000, 0.0000)

Computed properties:
Fermi-level density of states in states/eV/cell: 9.0
Uncorrected formation energy in eV/atom: -0.945